Below is an optimized crystal structure of AcMg4In4, with properties calculated at the PBE level.

Lattice parameters (Å, degrees): 6.9833 6.9833 9.9177 90.00 90.00 90.00
Closest atoms and distances in Å follow each position.
Space group P4_2/nmc (No. 137, origin choice 2)
Unique sites:
Ac  0.2500  0.7500  0.2500 (multiplicity 2)  4 In 3.54, 8 Mg 3.94
Mg  0.0215  0.2500  0.1614 (multiplicity 8)  5 In 2.92-2.99, 3 Mg 3.19-3.21
In  0.0354  0.2500  0.4553 (multiplicity 8)  5 Mg 2.92-2.99, 1 In 3.00

Properties
The value obtained for the formation energy is -145 meV per atom. The calculation puts the total DFT energy (no corrections) at -2.527 eV per atom.